[1]
ZnFeTe2 | Alexandria | PBE | optimized geometry; space-group type = No. 99; formation energy (no corrections) = 196.7 meV per atom
1.0
3.058 0.000 0.000
0.000 3.058 0.000
0.000 0.000 9.534
Zn Fe Te
1 1 2
direct
0.000 0.000 0.000
0.500 0.500 0.160
0.000 0.000 0.313
0.500 0.500 0.701

=====

[2]
Tb3Y6Ho2Th | Alexandria | PBE | optimized geometry; calculated formation energy = 0.29 eV per formula unit; space-group type = No. 12
1.0
3.088 -5.346 0.000
3.088 5.346 0.000
-2.058 0.000 11.626
Tb Y Ho Th
3 6 2 1
direct
0.000 0.000 0.000
0.333 0.667 0.000
0.667 0.333 0.000
0.086 0.416 0.251
0.253 0.253 0.749
0.416 0.086 0.251
0.584 0.914 0.749
0.747 0.747 0.251
0.914 0.584 0.749
0.167 0.833 0.500
0.833 0.167 0.500
0.500 0.500 0.500

=====

[3]
K2MnNb | Alexandria | PBE | optimized geometry; calculated formation energy = 5.60 eV per formula unit; space-group type = No. 122
1.0
-6.456 6.456 2.120
6.456 -6.456 2.120
6.456 6.456 -2.120
K Mn Nb
4 2 2
direct
0.375 0.201 0.326
0.799 0.125 0.174
0.875 0.049 0.674
0.951 0.625 0.826
0.000 0.000 0.000
0.750 0.250 0.500
0.250 0.750 0.500
0.500 0.500 0.000

=====

| no. | DFT total energy (eV per atom) |
| --- | --- |
| 1 | -3.81 |
| 2 | -5.75 |
| 3 | -3.96 |